Cs3NaLi2I6 after structural relaxation. Source: the Alexandria database, functional PBE.

**Uncorrected formation energy**: -1.3193 eV per atom
**Fermi-level density of states**: 0.000 states/eV/atom
**Crystal system**: trigonal

Cell lengths 8.8360, 8.8360, 9.8314 Å; angles 90.00, 90.00, 120.00 degrees
Sites, in units of the cell vectors:
Cs1 0.0000 0.0000 0.0000
Cs2 0.3333 0.6667 0.6225
Cs3 0.6667 0.3333 0.3775
Na1 0.0000 0.0000 0.5000
Li1 0.3333 0.6667 0.2362
Li2 0.6667 0.3333 0.7638
I1 0.1660 0.3320 0.2958
I2 0.1660 0.8340 0.2958
I3 0.3320 0.1660 0.7042
I4 0.6680 0.8340 0.2958
I5 0.8340 0.1660 0.7042
I6 0.8340 0.6680 0.7042


Ti6InO3 after structural relaxation. Source: the Alexandria database, functional PBE.

**Uncorrected formation energy**: -1.4356 eV per atom
**Fermi-level density of states**: 0.673 states/eV/atom
**Crystal system**: trigonal

Cell lengths 5.8676, 5.8676, 5.8676 Å; angles 57.09, 57.09, 57.09 degrees
Sites, in units of the cell vectors:
Ti1 0.0025 0.3325 0.6650
Ti2 0.3120 0.8313 0.3569
Ti3 0.3325 0.6650 0.0025
Ti4 0.3569 0.3120 0.8313
Ti5 0.6650 0.0025 0.3325
Ti6 0.8313 0.3569 0.3120
In1 0.8350 0.8350 0.8350
O1 0.0739 0.0739 0.0739
O2 0.4028 0.4028 0.4028
O3 0.5945 0.5945 0.5945


TcOs2Br after structural relaxation. Source: the Alexandria database, functional PBE.

**Uncorrected formation energy**: 0.9431 eV per atom
**Fermi-level density of states**: 1.022 states/eV/atom
**Crystal system**: orthorhombic
**ΔE to the lowest computed polymorph**: 1.018 eV per formula unit

Cell lengths 2.6962, 2.6962, 12.2521 Å; angles 90.00, 90.00, 117.59 degrees
Sites, in units of the cell vectors:
Tc1 0.0000 0.0000 0.0000
Os1 0.5000 0.5000 0.1818
Os2 0.5000 0.5000 0.8182
Br1 0.0000 0.0000 0.5000


ZrPa3N4 after structural relaxation. Source: the Alexandria database, functional PBE.

**Uncorrected formation energy**: -1.6482 eV per atom
**Fermi-level density of states**: 0.475 states/eV/atom
**Crystal system**: monoclinic

Cell lengths 5.9804, 6.9192, 5.9400 Å; angles 90.00, 109.85, 90.00 degrees
Sites, in units of the cell vectors:
Zr1 0.0000 0.1230 0.2500
Zr2 0.0000 0.8770 0.7500
Pa1 0.0000 0.3728 0.7500
Pa2 0.0000 0.6272 0.2500
Pa3 0.5000 0.1228 0.7500
Pa4 0.5000 0.3726 0.2500
Pa5 0.5000 0.6274 0.7500
Pa6 0.5000 0.8772 0.2500
N1 0.2380 0.1190 0.9994
N2 0.2380 0.8810 0.4994
N3 0.2417 0.3664 0.4934
N4 0.2417 0.6336 0.9934
N5 0.7583 0.3664 0.0066
N6 0.7583 0.6336 0.5066
N7 0.7620 0.1190 0.5006
N8 0.7620 0.8810 0.0006


MgAs after structural relaxation. Source: the Alexandria database, functional PBE.

**ΔH_f (0 K)**: -0.382 eV per atom
**Crystal system**: orthorhombic
**ΔE to the lowest computed polymorph**: 0.072 eV per formula unit

Cell lengths 5.0231, 7.6319, 9.8468 Å; angles 90.00, 90.00, 90.00 degrees
Sites, in units of the cell vectors:
Mg1 0.0936 0.1272 0.0041
Mg2 0.2102 0.6527 0.7909
Mg3 0.2898 0.3473 0.2909
Mg4 0.4064 0.8728 0.5041
Mg5 0.5936 0.3728 0.9959
Mg6 0.7102 0.8473 0.2091
Mg7 0.7898 0.1527 0.7091
Mg8 0.9064 0.6272 0.4959
As1 0.0956 0.4813 0.0240
As2 0.2027 0.0056 0.2590
As3 0.2973 0.9944 0.7590
As4 0.4044 0.5187 0.5240
As5 0.5956 0.0187 0.9760
As6 0.7027 0.4944 0.7410
As7 0.7973 0.5056 0.2410
As8 0.9044 0.9813 0.4760


RbZrCoSe3 after structural relaxation. Source: the Alexandria database, functional PBE.

**Uncorrected formation energy**: -1.0609 eV per atom
**Fermi-level density of states**: 0.314 states/eV/atom
**Crystal system**: monoclinic

Cell lengths 9.3211, 3.8218, 9.8586 Å; angles 90.00, 115.31, 90.00 degrees
Sites, in units of the cell vectors:
Rb1 0.2231 0.2500 0.2434
Rb2 0.7769 0.7500 0.7566
Zr1 0.3097 0.7500 0.8325
Zr2 0.6903 0.2500 0.1675
Co1 0.0834 0.2500 0.5941
Co2 0.9166 0.7500 0.4059
Se1 0.1168 0.2500 0.8533
Se2 0.2016 0.7500 0.5318
Se3 0.4693 0.7500 0.1470
Se4 0.5307 0.2500 0.8530
Se5 0.7984 0.2500 0.4682
Se6 0.8832 0.7500 0.1467


Number 1: final energy -2.74 eV/atom, V 665 Å³/cell, calculated density 2.99 g cm⁻³. Number 2: final energy -7.93 eV/atom, V 133 Å³/cell, calculated density 5.61 g cm⁻³. Number 3: final energy -7.68 eV/atom, V 79 Å³/cell, calculated density 11.75 g cm⁻³. Number 4: final energy -10.44 eV/atom, V 231 Å³/cell, calculated density 12.07 g cm⁻³. Number 5: final energy -3.50 eV/atom, V 377 Å³/cell, calculated density 3.49 g cm⁻³. Number 6: final energy -5.57 eV/atom, V 317 Å³/cell, calculated density 4.94 g cm⁻³.